[1]
VASP calculation (PBE) on Nd2MnAlGa6 after structural relaxation.

Lattice parameters (Å, degrees): 6.742 8.767 7.058 90.00 90.00 90.00
Fractional coordinates of all 20 atoms:
Nd1 0.250 0.005 0.248
Nd2 0.250 0.495 0.248
Nd3 0.750 0.505 0.752
Nd4 0.750 0.995 0.752
Mn1 0.250 0.250 0.901
Mn2 0.750 0.750 0.099
Al1 0.250 0.750 0.587
Al2 0.750 0.250 0.413
Ga1 0.060 0.750 0.945
Ga2 0.065 0.250 0.592
Ga3 0.250 0.506 0.778
Ga4 0.250 0.994 0.778
Ga5 0.435 0.250 0.592
Ga6 0.440 0.750 0.945
Ga7 0.560 0.250 0.055
Ga8 0.565 0.750 0.408
Ga9 0.750 0.006 0.222
Ga10 0.750 0.494 0.222
Ga11 0.935 0.750 0.408
Ga12 0.940 0.250 0.055

D(E_F) in states/eV per cell: 10.97
VASP energy in eV per atom: -4.354
Energy of formation in meV/atom: -293

[2]
VASP calculation (PBE) on MnAlGaNi after structural relaxation.

Lattice parameters (Å, degrees): 4.171 4.171 4.171 60.00 60.00 60.00
Fractional coordinates of all 4 atoms:
Mn1 0.000 0.000 0.000
Al1 0.250 0.250 0.250
Ga1 0.750 0.750 0.750
Ni1 0.500 0.500 0.500

D(E_F) in states/eV per cell: 3.53
VASP energy in eV per atom: -5.686
Energy of formation in meV/atom: -256